# PBE with a Hubbard U NaW2F, optimized geometry
# **Total magnetic moment**: 1.993 μB/atom
# **Excess energy over the best structure of this formula in the dataset**: 0.0000 eV per atom
# **D(E_F)**: 12.1 states/eV/cell
data_NaW2F
_space_group_name_H-M_alt 'I 41/a m d'
_space_group_IT_number 141
_cell_length_a 6.190
_cell_length_b 6.190
_cell_length_c 13.422
_cell_angle_alpha 90.00
_cell_angle_beta 90.00
_cell_angle_gamma 90.00
loop_
_space_group_symop_operation_xyz
'x,y,z'
'-x,-y,-z'
'-y+1/4,x+3/4,z+1/4'
'y+1/4,-x+3/4,-z+1/4'
'-x+1/2,-y,z+1/2'
'x+1/2,y,-z+1/2'
'y+1/4,-x+1/4,z+3/4'
'-y+1/4,x+1/4,-z+3/4'
'x,-y,-z'
'-x,y,z'
'-y+1/4,-x+1/4,-z+3/4'
'y+1/4,x+1/4,z+3/4'
'-x+1/2,y,-z+1/2'
'x+1/2,-y,z+1/2'
'y+1/4,x+3/4,-z+1/4'
'-y+1/4,-x+3/4,z+1/4'
'x+1/2,y+1/2,z+1/2'
'-x+1/2,-y+1/2,-z+1/2'
'-y+3/4,x+1/4,z+3/4'
'y+3/4,-x+1/4,-z+3/4'
'-x,-y+1/2,z'
'x,y+1/2,-z'
'y+3/4,-x+3/4,z+1/4'
'-y+3/4,x+3/4,-z+1/4'
'x+1/2,-y+1/2,-z+1/2'
'-x+1/2,y+1/2,z+1/2'
'-y+3/4,-x+3/4,-z+1/4'
'y+3/4,x+3/4,z+1/4'
'-x,y+1/2,-z'
'x,-y+1/2,z'
'y+3/4,x+1/4,-z+3/4'
'-y+3/4,-x+1/4,z+3/4'
loop_
_atom_site_label
_atom_site_type_symbol
_atom_site_fract_x
_atom_site_fract_y
_atom_site_fract_z
Na1 Na 0.000 0.250 0.375
W1 W 0.000 0.000 0.000
F1 F 0.000 0.250 0.875